The following is a DFT calculation (meta-GGA SCAN) of a crystal of LaAlFeIr2 relaxed with PBEsol.

The calculation puts the total energy at -41.4618 eV per atom. For the formation energy, the calculation gives 775 meV/atom. For the calculated volume, the calculation gives 20.827 Å³/atom.

Cell: 4.467 4.467 5.218 Å, 90.00 90.00 90.00°
Last column: magnetic moment on the atom in μB.
Fractional coordinates of all 5 atoms:
Al: 0.000 0.000 0.000  0.00
Ir: 0.000 0.500 0.000  -0.07
La: 0.000 0.000 0.500  0.20
Fe: 0.500 0.500 0.500  -3.19
Ir: 0.500 0.000 0.000  -0.07

---

The following is a DFT calculation (meta-GGA SCAN) of a crystal of RbAlFe2Ir relaxed with PBEsol.

The calculation puts the total energy at -25.8457 eV per atom. For the formation energy, the calculation gives 1324 meV/atom. For the calculated volume, the calculation gives 25.839 Å³/atom.

Cell: 4.710 4.710 5.823 Å, 90.00 90.00 90.00°
Last column: magnetic moment on the atom in μB.
Fractional coordinates of all 5 atoms:
Rb: 0.000 0.000 0.500  -0.02
Al: 0.500 0.500 0.500  -0.04
Fe: 0.500 0.000 0.000  3.46
Fe: 0.000 0.500 0.000  3.46
Ir: 0.000 0.000 0.000  0.69

---

The following is a DFT calculation (meta-GGA SCAN) of a crystal of KAlFe2 relaxed with PBEsol.

The calculation puts the total energy at -12.0650 eV per atom. For the formation energy, the calculation gives 1020 meV/atom. For the calculated volume, the calculation gives 17.040 Å³/atom.

Cell: 4.585 4.585 4.585 Å, 60.00 60.00 60.00°
Last column: magnetic moment on the atom in μB.
Fractional coordinates of all 4 atoms:
Al: 0.500 0.500 0.500  -0.09
K: 0.250 0.250 0.250  -0.02
Fe: 0.000 0.000 0.000  3.12
Fe: 0.750 0.750 0.750  2.95